The following is a DFT calculation (PBE) of an optimized crystal structure of La2Ag2Sb.

Summary:
Energy relative to the lowest polymorph listed for this composition = 0.261 eV per atom
Fermi-level density of states = 1.37 states/eV/atom
Energy relative to the elements, uncorrected = -263 meV/atom
Total moment = 0.00 μB per formula unit
DFT total energy = -4.1989 eV per atom
SG = I4/mmm, No. 139

Cell and atoms, written as POSCAR:
```
La2Ag2Sb
1.0
-5.388 0.892 -2.439
1.081 -4.337 -3.974
-3.783 -4.498 -0.620
Ag La Sb
2 2 1
Direct
0.346 0.346 0.309 Ag
0.654 0.654 0.691 Ag
0.250 0.750 0.500 La
0.750 0.250 0.500 La
0.000 0.000 0.000 Sb
```